First-principles (PBE) data for crystalline UPd3Pt6 at its relaxed geometry, as listed in Alexandria.

Computed properties:
The value obtained for the density of states at the Fermi level is 1.277 states/eV/atom. Its total energy is -129.10 eV for the cell shown. The formation energy is -1.4 eV per formula unit.

```
20
Lattice="-1.936 1.613 1.283 -10.155 -3.274 -11.208 -0.780 -5.661 5.938" Properties=species:S:1:pos:R:3 pbc="T T T"
Pt -9.648 -5.314 -6.321
Pt -2.792 0.532 -0.207
Pt -6.231 -1.692 -2.602
Pt -3.223 -2.008 2.334
Pt -10.569 -3.047 -7.444
Pt -6.640 -5.630 -1.385
Pt -6.386 -2.078 -5.466
Pt -3.244 -2.231 -0.533
Pt -2.302 -4.275 3.457
Pt -6.485 -5.244 1.479
Pt -10.079 -7.854 -3.780
Pt -9.627 -5.091 -3.454
U -3.519 -0.775 -2.779
U -9.352 -6.548 -1.208
Pd -0.969 -0.940 1.276
Pd -11.902 -6.382 -5.263
Pd -3.923 -4.424 1.199
Pd -6.958 -4.253 -3.596
Pd -5.913 -3.069 -0.392
Pd -8.949 -2.898 -5.186
```

First-principles (PBE) data for crystalline U2Pd9Pt at its relaxed geometry, as listed in Alexandria.

Computed properties:
The value obtained for the density of states at the Fermi level is 1.710 states/eV/atom. Its total energy is -79.96 eV for the cell shown. The formation energy is -4.6 eV per formula unit.

```
12
Lattice="-2.348 2.141 2.622 -3.373 -1.748 -1.593 0.827 -8.885 7.997" Properties=species:S:1:pos:R:3 pbc="T T T"
Pd -0.761 -3.372 5.309
Pd -2.586 -2.759 3.174
Pd -1.038 -0.387 2.623
Pd -1.273 -5.317 3.202
Pd -2.861 0.197 0.514
Pd -0.995 -8.302 5.888
Pd -0.483 -6.357 7.996
Pd -1.551 -2.332 0.515
Pd -2.309 -5.733 5.851
U 0.266 -2.855 2.570
U 0.561 -6.030 5.427
Pt 0.000 0.000 0.000
```

First-principles (PBE) data for crystalline U2Pd7Pt at its relaxed geometry, as listed in Alexandria.

Computed properties:
The value obtained for the density of states at the Fermi level is 0.933 states/eV/atom. Its total energy is -64.56 eV for the cell shown. The formation energy is 0.4 eV per formula unit.

```
10
Lattice="2.898 0.000 0.000 0.000 8.914 -0.574 0.000 -4.448 7.747" Properties=species:S:1:pos:R:3 pbc="T T T"
Pd 1.449 2.173 6.331
Pd 1.449 -0.257 2.429
Pd 1.449 4.723 4.743
Pd 0.000 -2.044 6.249
Pd 1.449 2.293 0.841
Pd 1.449 2.233 3.586
Pd 0.000 6.510 0.923
Pt 0.000 0.000 0.000
U 1.449 -0.087 5.031
U 1.449 4.553 2.142
```

First-principles (PBE) data for crystalline U2Pd6Pt at its relaxed geometry, as listed in Alexandria.

Computed properties:
The value obtained for the density of states at the Fermi level is 1.187 states/eV/atom. Its total energy is -63.83 eV for the cell shown. The formation energy is -4.1 eV per formula unit.

```
9
Lattice="3.915 0.000 -1.171 -0.568 6.161 -1.900 -0.200 0.278 6.464" Properties=species:S:1:pos:R:3 pbc="T T T"
Pd 0.903 1.180 3.021
Pd 2.244 5.260 0.372
Pd 2.855 3.212 2.417
Pd 0.864 5.201 2.888
Pd 2.284 1.238 0.505
Pd 0.292 3.227 0.977
Pt 1.674 3.081 -1.535
U 3.442 1.252 4.380
U -0.295 5.187 -0.986
```

First-principles (PBE) data for crystalline UPd8Pt2 at its relaxed geometry, as listed in Alexandria.

Computed properties:
The value obtained for the density of states at the Fermi level is 1.408 states/eV/atom. Its total energy is -66.71 eV for the cell shown. The energy above the most stable polymorph in this dataset comes out at 0.120 eV/f.u. The formation energy is -1.8 eV per formula unit.

```
11
Lattice="-3.001 3.154 -2.430 -6.995 -3.047 0.781 -6.084 0.768 4.607" Properties=species:S:1:pos:R:3 pbc="T T T"
U 0.000 0.000 0.000
Pt -4.908 2.288 -1.113
Pt -11.172 -1.413 4.070
Pd -8.788 1.226 0.870
Pd -11.435 1.178 1.548
Pd -6.671 0.156 -0.570
Pd -9.873 -1.229 1.574
Pd -4.645 -0.304 1.409
Pd -7.292 -0.351 2.087
Pd -9.409 0.718 3.527
Pd -6.206 2.103 1.383
```

First-principles (PBE) data for crystalline UPdPt6 at its relaxed geometry, as listed in Alexandria.

Computed properties:
The value obtained for the density of states at the Fermi level is 1.116 states/eV/atom. Its total energy is -54.10 eV for the cell shown. The energy above the most stable polymorph in this dataset comes out at 2.422 eV/f.u. The formation energy is -1.4 eV per formula unit.

```
8
Lattice="4.832 0.819 -0.096 1.179 4.757 -0.096 1.622 1.505 6.793" Properties=species:S:1:pos:R:3 pbc="T T T"
Pt 3.981 3.693 0.233
Pt 1.389 3.088 1.997
Pt 3.184 1.153 1.997
Pt 3.652 3.387 6.368
Pt 6.244 3.991 4.603
Pt 4.449 5.927 4.603
U 3.817 3.540 3.300
Pd 0.000 0.000 0.000
```

Here are the calculated total magnetization numbers, same order: 3.008 3.181 4.406 4.164 0.507 0.520 (Bohr magnetons per cell).